# 1
{
  "formula": "HIr3Au",
  "functional": "GGA-PBE",
  "state": "optimized geometry",
  "lattice": [[-2.503, 2.561, 3.387], [0.937, -3.501, 3.340], [4.141, 2.340, 1.291]],
  "species": ["Ir", "Au", "Ir", "H", "Ir"],
  "fractional_positions": [[0.000, 0.000, 0.500], [0.000, 0.000, 0.000], [0.000, 0.500, 0.000], [0.500, 0.500, 0.500], [0.500, 0.000, 0.000]],
  "magmom_total_mub_per_cell": 4.157,
  "sg": "Pm-3m (221)",
  "de_polymorph_mev_per_atom": 2503.9,
  "dos_ef_per_ev_cell": 12.952
}

=====

# 2
{
  "formula": "LaH8IrAu2",
  "functional": "GGA-PBE",
  "state": "optimized geometry",
  "lattice": [[-0.553, -3.714, 4.012], [-1.359, -3.102, -3.502], [3.394, -4.128, -3.777]],
  "species": ["Au", "H", "Ir", "H", "H", "H", "Au", "H", "La", "H", "H", "H"],
  "fractional_positions": [[0.436, 0.429, 0.795], [0.139, 0.716, 0.985], [0.000, 0.000, 0.000], [0.734, 0.929, 0.886], [0.861, 0.284, 0.015], [0.018, 0.351, 0.658], [0.564, 0.571, 0.205], [0.982, 0.649, 0.342], [0.000, 0.000, 0.500], [0.595, 0.770, 0.524], [0.405, 0.230, 0.476], [0.266, 0.071, 0.114]],
  "magmom_total_mub_per_cell": 0.000,
  "sg": "P-1 (2)",
  "final_energy_ry_per_atom": -0.303,
  "dos_ef_per_ev_cell": 0.122
}

=====

# 3
{
  "formula": "LaH8Ir2Au",
  "functional": "GGA-PBE",
  "state": "optimized geometry",
  "lattice": [[4.928, 0.000, 0.000], [2.464, 4.268, 0.000], [2.464, 1.423, 5.626]],
  "species": ["Ir", "H", "H", "Au", "Ir", "H", "H", "H", "H", "H", "La", "H"],
  "fractional_positions": [[0.712, 0.712, 0.865], [0.583, 0.358, 0.149], [0.190, 0.190, 0.430], [0.000, 0.000, 0.000], [0.288, 0.288, 0.135], [0.090, 0.417, 0.851], [0.358, 0.910, 0.149], [0.810, 0.810, 0.570], [0.417, 0.642, 0.851], [0.910, 0.583, 0.149], [0.500, 0.500, 0.500], [0.642, 0.090, 0.851]],
  "magmom_total_mub_per_cell": 0.000,
  "sg": "R-3 (148)",
  "final_energy_ry_per_atom": -0.329,
  "dos_ef_per_ev_cell": 1.200
}

=====

# 4
{
  "formula": "La3HIrAu",
  "functional": "GGA-PBE",
  "state": "optimized geometry",
  "lattice": [[4.124, 0.000, 0.000], [0.000, 8.688, 0.689], [0.000, -2.638, 8.702]],
  "species": ["Ir", "La", "Au", "La", "La", "H", "H", "La", "Au", "Ir", "La", "La"],
  "fractional_positions": [[0.250, 0.669, 0.163], [0.750, 0.199, 0.523], [0.750, 0.823, 0.760], [0.250, 0.112, 0.858], [0.250, 0.801, 0.477], [0.750, 0.924, 0.419], [0.250, 0.076, 0.581], [0.750, 0.436, 0.168], [0.250, 0.177, 0.240], [0.750, 0.331, 0.837], [0.750, 0.888, 0.142], [0.250, 0.564, 0.832]],
  "magmom_total_mub_per_cell": 0.000,
  "sg": "P2_1/m (11)",
  "final_energy_ry_per_atom": -0.423,
  "dos_ef_per_ev_cell": 8.459
}